# 1
Below is an optimized crystal structure of MnTl2Se6, with properties calculated at the PBE level.

Symmetry ... C2/m
Formation energy without anion corrections ... -115 meV per atom

The structure in extended XYZ format:
```
9
Lattice="7.229 -3.978 0.000 7.229 3.978 0.000 -0.424 0.000 4.282" Properties=species:S:1:pos:R:3 pbc="T T T"
Mn 0.000 0.000 0.000
Tl 3.790 0.000 2.354
Tl 10.243 0.000 1.928
Se 5.321 2.331 0.216
Se 7.017 2.340 2.141
Se 8.712 2.331 4.067
Se 5.321 -2.331 0.216
Se 7.017 -2.340 2.141
Se 8.712 -2.331 4.067
```

---

# 2
Below is an optimized crystal structure of MnTl2Se2, with properties calculated at the PBE level.

Symmetry ... P2_1/c
Formation energy without anion corrections ... -363 meV per atom

The structure in extended XYZ format:
```
20
Lattice="8.691 0.000 0.000 0.000 8.476 0.000 -1.896 0.000 7.821" Properties=species:S:1:pos:R:3 pbc="T T T"
Mn 0.539 1.026 1.290
Mn -0.409 3.212 5.201
Mn 7.205 5.265 2.621
Mn 6.257 7.450 6.531
Tl 1.251 0.488 4.537
Tl 2.199 3.751 0.627
Tl 2.022 5.638 3.852
Tl 1.074 7.076 7.763
Tl 5.722 1.400 0.059
Tl 4.774 2.838 3.969
Tl 4.597 4.726 7.195
Tl 5.544 7.989 3.284
Se -1.152 5.684 5.144
Se -0.204 7.030 1.234
Se 2.987 1.046 1.919
Se 2.040 3.192 5.830
Se 4.756 5.284 1.992
Se 3.808 7.430 5.902
Se 7.000 1.446 6.588
Se 7.948 2.792 2.677
```